Entry 1:
Density functional theory data (GGA-PBE) for a relaxed structure of BaOsSN2.

Calculated values
DFT total energy in Ha/atom: -0.1503
Spin magnetization in μB/f.u.: 4.3
N(E_F) in states/eV/cell: 5.14
SG: No. 123

Unit cell a=4.2625 b=4.2625 c=6.2015 alpha=90.00 beta=90.00 gamma=90.00
Last column: nearest neighbours and their distance in Å.
Fractional coordinates of all 5 atoms:
Ba1 0.0000 0.0000 0.0000  4 N 2.13
Os1 0.5000 0.5000 0.5000  4 S 3.01
S1 0.0000 0.0000 0.5000  4 Os 3.01, 2 Ba 3.10
N1 0.0000 0.5000 0.0000  2 Ba 2.13
N2 0.5000 0.0000 0.0000  2 Ba 2.13

***

Entry 2:
Density functional theory data (GGA-PBE) for a relaxed structure of BaOsS2N.

Calculated values
DFT total energy in Ha/atom: -0.2372
Spin magnetization in μB/f.u.: 0.4
N(E_F) in states/eV/cell: 4.37
SG: No. 123

Unit cell a=5.0568 b=5.0568 c=3.8025 alpha=90.00 beta=90.00 gamma=90.00
Last column: nearest neighbours and their distance in Å.
Fractional coordinates of all 5 atoms:
Ba1 0.0000 0.0000 0.0000  8 S 3.16
Os1 0.5000 0.5000 0.5000  2 N 1.90
S1 0.0000 0.5000 0.5000  2 Os 2.53
S2 0.5000 0.0000 0.5000  2 Os 2.53
N1 0.5000 0.5000 0.0000  2 Os 1.90

***

Entry 3:
Density functional theory data (GGA-PBE) for a relaxed structure of Ba2ScOsN4.

Calculated values
DFT total energy in Ha/atom: -0.2641
Spin magnetization in μB/f.u.: 0.0
N(E_F) in states/eV/cell: 7.36
SG: No. 70

Unit cell a=11.8581 b=10.5339 c=6.6846 alpha=83.87 beta=62.04 gamma=34.09
Last column: nearest neighbours and their distance in Å.
Fractional coordinates of all 16 atoms:
Ba1 0.0566 0.0566 0.6934  2 N 2.80
Ba2 0.3066 0.3066 0.9434  2 N 2.80
Ba3 0.6934 0.6934 0.0566  2 N 2.80
Ba4 0.9434 0.9434 0.3066  2 N 2.80
Sc1 0.1250 0.1250 0.1250  4 N 2.08
Sc2 0.8750 0.8750 0.8750  4 N 2.08
Os1 0.3750 0.3750 0.3750  4 N 1.91
Os2 0.6250 0.6250 0.6250  4 N 1.91
N1 0.0085 0.6686 0.5381  1 Os 1.91, 1 Sc 2.08
N2 0.2848 0.5381 0.6686  1 Os 1.91, 1 Sc 2.08
N3 0.3314 0.9915 0.7152  1 Os 1.91, 1 Sc 2.08
N4 0.4619 0.7152 0.9915  1 Os 1.91, 1 Sc 2.08
N5 0.5381 0.2848 0.0085  1 Os 1.91, 1 Sc 2.08
N6 0.6686 0.0085 0.2848  1 Os 1.91, 1 Sc 2.08
N7 0.7152 0.4619 0.3314  1 Os 1.91, 1 Sc 2.08
N8 0.9915 0.3314 0.4619  1 Os 1.91, 1 Sc 2.08

***

Question: The highest DFT total energy belongs to which entry?
Answer: BaOsSN2

***

Question: The lowest N(E_F) belongs to which entry?
Answer: BaOsS2N